Entry from Alexandria via LeMat-Bulk: an optimized crystal structure of Ti3Se (PBE).

Unit cell a=5.919 b=3.460 c=6.795 alpha=90.00 beta=102.23 gamma=90.00
Positions (direct):
Ti (0.078, 0.250, 0.373)
Ti (0.271, 0.250, 0.914)
Ti (0.384, 0.750, 0.618)
Ti (0.616, 0.250, 0.382)
Ti (0.729, 0.750, 0.086)
Ti (0.922, 0.750, 0.627)
Se (0.311, 0.750, 0.202)
Se (0.689, 0.250, 0.798)

Output
The calculation puts the total energy at -7.326 eV/atom. The crystal system is monoclinic.